Record 1
The following is a DFT calculation (PBE) of an optimized crystal structure of KTc2Te.

Output
Space-group type: C2/m, No. 12
Uncorrected energy: -5.6451 eV per atom
Magnetic moment: 0.52 Bohr magnetons per cell

abc: 5.503 5.503 6.245
angles: 106.11 106.11 39.98
Positions (direct):
K: 0.000 0.000 0.000
Tc: 0.214 0.214 0.575
Tc: 0.786 0.786 0.425
Te: 0.500 0.500 0.500

=====

Record 2
The following is a DFT calculation (PBE) of an optimized crystal structure of BePdSe.

Output
Space-group type: P1, No. 1
Uncorrected energy: -4.4721 eV per atom
Magnetic moment: 0.00 Bohr magnetons per cell

abc: 3.617 4.513 7.479
angles: 75.81 77.91 66.48
Positions (direct):
Be: 0.000 0.000 0.000
Be: 0.433 0.327 0.778
Pd: 0.144 0.969 0.702
Pd: 0.709 0.607 0.968
Se: 0.370 0.134 0.146
Se: 0.893 0.565 0.594

=====

Record 3
The following is a DFT calculation (PBE) of an optimized crystal structure of Ta2NbFe5Co2.

Output
Energy of formation: -0.020 eV per atom
Space-group type: P4/mbm, No. 127
Uncorrected energy: -9.0500 eV per atom
Magnetic moment: 12.16 Bohr magnetons per cell

abc: 8.376 8.376 3.745
angles: 90.00 90.00 90.00
Positions (direct):
Ta: 0.165 0.335 0.000
Ta: 0.335 0.835 0.000
Ta: 0.665 0.165 0.000
Ta: 0.835 0.665 0.000
Nb: 0.000 0.000 0.000
Nb: 0.500 0.500 0.000
Fe: 0.000 0.500 0.500
Fe: 0.069 0.792 0.500
Fe: 0.208 0.069 0.500
Fe: 0.292 0.569 0.500
Fe: 0.431 0.292 0.500
Fe: 0.500 0.000 0.500
Fe: 0.569 0.708 0.500
Fe: 0.708 0.431 0.500
Fe: 0.792 0.931 0.500
Fe: 0.931 0.208 0.500
Co: 0.131 0.631 0.000
Co: 0.369 0.131 0.000
Co: 0.631 0.869 0.000
Co: 0.869 0.369 0.000